Record 1
Compound: CsCeBiO4
Source: Alexandria via LeMat-Bulk
Functional: PBE
Structure: optimized geometry

extended XYZ file:
```
14
Lattice="-7.0541 2.3511 1.3809 3.2894 -4.9066 4.4482 2.3118 6.9912 -0.0936" Properties=species:S:1:pos:R:3 pbc="T T T"
Cs -3.4048 -0.7518 4.5964
Cs 1.9520 5.1875 1.1390
Ce -2.3712 4.6712 0.6436
Ce -3.5271 1.1756 0.6904
Bi -0.7264 2.2179 2.8677
Bi 2.8006 1.0423 2.1773
O -2.0760 4.2622 2.8480
O -1.6121 2.4803 0.5941
O -4.2204 3.3496 1.1046
O -3.0287 1.3811 2.8866
O 1.5758 3.0546 2.8488
O 0.1592 1.9554 5.1414
O 2.7675 1.0861 4.6308
O 0.6231 0.1735 2.8874
```

Calculated values
Space group: Imma
V (A^3/atom): 20.604
ΔE_f (raw) (eV per atom): -2.114

Record 2
Compound: Dy2PtI
Source: Alexandria via LeMat-Bulk
Functional: PBE
Structure: optimized geometry

extended XYZ file:
```
4
Lattice="-3.7036 -0.7803 -1.8261 -0.3147 -3.0184 -2.9069 -1.7494 -5.5311 5.9678" Properties=species:S:1:pos:R:3 pbc="T T T"
Dy -3.6778 -3.8448 -3.5703
Dy -1.5998 -3.1994 1.6087
Pt -2.6261 -3.4827 -1.0225
I -4.7660 -7.2666 0.1032
```

Calculated values
Space group: Cm
V (A^3/atom): 31.823
Excess energy over the best structure of this formula in the dataset (meV per atom): 16
ΔE_f (raw) (eV per atom): -1.117

Record 3
Compound: ZrBeSb2
Source: Alexandria via LeMat-Bulk
Functional: PBE
Structure: optimized geometry

extended XYZ file:
```
4
Lattice="3.2049 -0.0156 0.0000 -0.6539 3.1375 0.0000 0.0000 0.0000 9.1795" Properties=species:S:1:pos:R:3 pbc="T T T"
Sb 0.0000 0.0000 8.2946
Sb 1.2755 1.5609 2.8169
Zr 0.0000 0.0000 5.0898
Be 1.2755 1.5609 6.7473
```

Calculated values
Space group: Cmm2
V (A^3/atom): 23.052
ΔE_f (raw) (eV per atom): -0.044

Record 4
Compound: NaZrRe2
Source: Alexandria via LeMat-Bulk
Functional: PBE
Structure: optimized geometry

extended XYZ file:
```
4
Lattice="2.1845 -4.0818 0.2264 0.8538 -1.9464 4.1191 -2.3176 -3.8003 1.2925" Properties=species:S:1:pos:R:3 pbc="T T T"
Re 0.1802 -2.4571 1.4095
Re 0.5405 -7.3714 4.2285
Zr 0.3603 -4.9142 2.8190
Na 0.0000 0.0000 0.0000
```

Calculated values
Space group: Fm-3m
V (A^3/atom): 17.604
Excess energy over the best structure of this formula in the dataset (meV per atom): 0
E_form (eV/atom): 1.003

Record 5
Compound: Pt3SeS
Source: Alexandria via LeMat-Bulk
Functional: PBE
Structure: optimized geometry

extended XYZ file:
```
5
Lattice="-3.7110 -2.3758 -1.6797 -0.5459 -2.1054 4.1840 -2.8579 3.4871 1.3818" Properties=species:S:1:pos:R:3 pbc="T T T"
S -3.5574 -0.4971 1.9431
Se 0.0000 0.0000 0.0000
Pt -0.2729 -1.0527 2.0920
Pt -1.4290 1.7435 0.6909
Pt -1.8555 -1.1879 -0.8398
```

Calculated values
Space group: Pm-3m
V (A^3/atom): 20.972
Excess energy over the best structure of this formula in the dataset (meV per atom): 424
ΔE_f (raw) (eV per atom): 0.983

Record 6
Compound: SbIrBr4
Source: Alexandria via LeMat-Bulk
Functional: PBE
Structure: optimized geometry

extended XYZ file:
```
6
Lattice="0.0000 4.2692 4.2692 4.2692 0.0000 4.2692 4.2692 4.2692 0.0000" Properties=species:S:1:pos:R:3 pbc="T T T"
Sb 0.0000 0.0000 0.0000
Ir 6.4037 6.4037 6.4037
Br 3.2126 5.3257 5.3257
Br 5.3257 5.3257 3.2126
Br 5.3257 3.2126 5.3257
Br 3.2126 3.2126 3.2126
```

Calculated values
Space group: F-43m
V (A^3/atom): 25.936
ΔE_f (raw) (eV per atom): 1.389

Record 7
Compound: CsZnCu3
Source: Alexandria via LeMat-Bulk
Functional: PBE
Structure: optimized geometry

extended XYZ file:
```
5
Lattice="-0.4727 3.1345 4.7619 -3.0745 -4.1640 2.4357 4.8009 -2.3580 2.0287" Properties=species:S:1:pos:R:3 pbc="T T T"
Cs 0.0000 0.0000 0.0000
Zn 0.6268 -1.6938 4.6132
Cu -1.5373 -2.0820 1.2179
Cu 2.4004 -1.1790 1.0144
Cu -0.2363 1.5673 2.3810
```

Calculated values
Space group: Pm-3m
V (A^3/atom): 37.440
Excess energy over the best structure of this formula in the dataset (meV per atom): 1230
E_form (eV/atom): 1.759

Record 8
Compound: TcAu2
Source: Alexandria via LeMat-Bulk
Functional: PBE
Structure: optimized geometry

extended XYZ file:
```
3
Lattice="4.6992 0.0000 0.0000 -2.3496 4.0696 0.0000 0.0000 0.0000 2.6984" Properties=species:S:1:pos:R:3 pbc="T T T"
Au 0.0000 2.7131 1.3445
Au 2.3496 1.3565 1.3538
Tc 0.0000 0.0000 0.0000
```

Calculated values
Space group: P6/mmm
V (A^3/atom): 17.201
Excess energy over the best structure of this formula in the dataset (meV per atom): 191
E_form (eV/atom): 0.461

Record 9
Compound: Pm3Y4In
Source: Alexandria via LeMat-Bulk
Functional: PBE
Structure: optimized geometry

extended XYZ file:
```
16
Lattice="6.2476 0.0000 0.0000 0.0000 7.1298 0.0000 0.0000 0.0000 11.3391" Properties=species:S:1:pos:R:3 pbc="T T T"
Pm 3.9286 4.4695 0.0000
Pm 6.0615 4.3712 2.7192
Pm 2.9377 2.7586 2.9504
Pm 0.8048 2.6603 5.6695
Pm 2.9377 2.7586 8.3887
Pm 6.0615 4.3712 8.6199
Y 1.0302 6.2252 0.0000
Y 4.0208 0.9297 0.0000
Y 6.2049 0.8886 2.7118
Y 3.0811 6.2412 2.9577
Y 0.8970 6.2001 5.6695
Y 4.1540 0.9046 5.6695
Y 3.0811 6.2412 8.3813
Y 6.2049 0.8886 8.6273
In 0.9448 2.5943 0.0000
In 4.0686 4.5355 5.6695
```

Calculated values
Space group: Pmn2_1
V (A^3/atom): 31.568
Excess energy over the best structure of this formula in the dataset (meV per atom): 0
E_form (eV/atom): -0.117

Record 10
Compound: SbPPb
Source: Alexandria via LeMat-Bulk
Functional: PBE
Structure: optimized geometry

extended XYZ file:
```
3
Lattice="0.0000 2.9841 7.1837 1.8365 0.0000 7.1837 1.8365 2.9841 0.0000" Properties=species:S:1:pos:R:3 pbc="T T T"
Sb 1.8365 2.9841 5.1779
P 1.8365 2.9841 14.1983
Pb 1.8365 2.9841 9.3586
```

Calculated values
Space group: Fmm2
V (A^3/atom): 26.246
Excess energy over the best structure of this formula in the dataset (meV per atom): 294
ΔE_f (raw) (eV per atom): 0.371

Record 11
Compound: Ce3Nd4ScSe8
Source: Alexandria via LeMat-Bulk
Functional: PBE
Structure: optimized geometry

extended XYZ file:
```
16
Lattice="8.3556 0.0000 0.0000 0.0000 8.3681 0.0029 -4.1778 -4.1747 5.9103" Properties=species:S:1:pos:R:3 pbc="T T T"
Ce 4.1778 4.1840 0.0014
Ce 2.0889 2.0967 2.9566
Ce -2.0889 2.0967 2.9566
Nd 4.1778 0.0000 0.0000
Nd 2.0889 -2.0873 2.9552
Nd 0.0000 0.0000 0.0000
Nd -2.0889 -2.0873 2.9552
Sc 0.0000 4.1840 0.0014
Se -2.1597 2.0140 5.9009
Se 0.0000 4.1722 2.8456
Se 0.0000 0.0171 2.9646
Se 2.1597 2.0140 5.9009
Se 2.0182 2.1794 0.0123
Se 4.1778 4.1764 2.9486
Se 4.1778 0.0212 3.0676
Se 6.3375 2.1794 0.0123
```

Calculated values
Space group: R-3m
V (A^3/atom): 25.835
ΔE_f (raw) (eV per atom): -1.789

Record 12
Compound: Ga3SnPb
Source: Alexandria via LeMat-Bulk
Functional: PBE
Structure: optimized geometry

extended XYZ file:
```
5
Lattice="5.3246 0.0000 0.0000 0.0000 5.3246 0.0000 0.0000 0.0000 5.3246" Properties=species:S:1:pos:R:3 pbc="T T T"
Pb 2.6623 2.6623 2.6623
Sn 0.0000 0.0000 0.0000
Ga 0.0000 2.6623 0.0000
Ga 0.0000 0.0000 2.6623
Ga 2.6623 0.0000 0.0000
```

Calculated values
Space group: Pm-3m
V (A^3/atom): 30.192
Excess energy over the best structure of this formula in the dataset (meV per atom): 426
E_form (eV/atom): 0.481

Record 13
Compound: NaTlGa2Pd
Source: Alexandria via LeMat-Bulk
Functional: PBE
Structure: optimized geometry

extended XYZ file:
```
5
Lattice="4.8242 0.0000 0.0000 0.0000 4.8242 0.0000 0.0000 0.0000 5.4713" Properties=species:S:1:pos:R:3 pbc="T T T"
Na 0.0000 0.0000 2.7357
Tl 2.4121 2.4121 2.7357
Ga 0.0000 2.4121 0.0000
Ga 2.4121 0.0000 0.0000
Pd 0.0000 0.0000 0.0000
```

Calculated values
Space group: P4/mmm
V (A^3/atom): 25.467
Excess energy over the best structure of this formula in the dataset (meV per atom): 0
E_form (eV/atom): -0.147

Record 14
Compound: Ga2CuAu6
Source: Alexandria via LeMat-Bulk
Functional: PBE
Structure: optimized geometry

extended XYZ file:
```
9
Lattice="-2.5720 1.5886 2.5571 -2.8667 -4.8006 3.1644 3.1948 0.5979 5.9075" Properties=species:S:1:pos:R:3 pbc="T T T"
Ga 0.2437 -1.2048 7.1245
Ga -2.4875 -1.4093 4.5044
Cu 0.1641 -2.1013 4.5359
Au 2.1615 -0.2297 5.3823
Au -0.9682 -0.5453 2.4304
Au -1.2757 -2.0688 9.1985
Au -1.5954 -3.1122 6.4597
Au -0.6485 0.4981 5.1692
Au -4.4054 -2.3844 6.2467
```

Calculated values
Space group: C2/m
V (A^3/atom): 17.289
Excess energy over the best structure of this formula in the dataset (meV per atom): 0
E_form (eV/atom): -0.086

Record 15
Compound: Pr3SmSn
Source: Alexandria via LeMat-Bulk
Functional: PBE
Structure: optimized geometry

extended XYZ file:
```
10
Lattice="5.7560 0.0000 0.0000 0.0000 6.3564 0.0000 0.0000 -3.1782 12.6096" Properties=species:S:1:pos:R:3 pbc="T T T"
Pr 4.3170 4.8489 3.3683
Pr 4.3170 1.5075 3.3683
Pr 1.4390 1.6707 9.2413
Pr 1.4390 -1.6707 9.2413
Pr 0.0000 0.0000 0.0000
Pr 2.8780 0.0000 0.0000
Sm 4.3170 3.1782 6.7011
Sm 1.4390 0.0000 5.9085
Sn 4.3170 3.1782 9.7487
Sn 1.4390 0.0000 2.8609
```

Calculated values
Space group: Cmcm
V (A^3/atom): 46.135
E_form (eV/atom): 0.416

Record 16
Compound: Zn2TeRh
Source: Alexandria via LeMat-Bulk
Functional: PBE
Structure: optimized geometry

extended XYZ file:
```
4
Lattice="5.1119 -0.0095 -0.1560 1.9975 4.7054 0.1560 -3.4857 -2.4524 2.8269" Properties=species:S:1:pos:R:3 pbc="T T T"
Rh 2.5904 -0.0570 1.3354
Te 1.0333 2.3005 1.4914
Zn 0.0057 0.0038 0.0000
Zn 3.5490 2.3442 0.0000
```

Calculated values
Space group: Immm
V (A^3/atom): 17.054
ΔE_f (raw) (eV per atom): -0.011

Record 17
Compound: Sm3GeO8
Source: Alexandria via LeMat-Bulk
Functional: PBE
Structure: optimized geometry

extended XYZ file:
```
24
Lattice="-5.7802 1.6468 -8.5936 4.4038 -0.8549 -3.1259 0.0271 -6.2005 -1.2065" Properties=species:S:1:pos:R:3 pbc="T T T"
Sm -0.4734 -1.7454 -3.2153
Sm -0.8759 -3.6632 -9.7106
Sm 1.1271 -5.1379 -2.3537
Sm -0.1383 -0.9368 -7.0960
Sm -2.4765 -0.2706 -10.5722
Sm -1.2110 -4.4717 -5.8299
Ge 2.1631 -6.4339 -5.8871
Ge -3.5124 1.0254 -7.0388
O -1.4032 -3.9872 -3.0196
O 0.0538 -1.4213 -9.9063
O -1.3524 -2.1819 -5.4638
O -2.4867 -2.5172 -11.1637
O 0.0031 -3.2266 -7.4621
O 1.1374 -2.8913 -1.7622
O -3.5399 -4.4664 -6.4869
O 3.6231 -1.3503 -4.3092
O 2.1905 -0.9421 -6.4390
O -4.9724 -4.0583 -8.6168
O -1.6480 -5.3482 -8.0046
O 1.6624 -0.4488 -2.8939
O 0.2987 -0.0603 -4.9213
O -3.0117 -4.9597 -10.0320
O 0.4914 -3.7013 -4.2391
O -1.8407 -1.7072 -8.6868
```

Calculated values
Space group: P2_1/m
V (A^3/atom): 14.547
ΔE_f (raw) (eV per atom): -2.363

Record 18
Compound: Ti3SnS
Source: Alexandria via LeMat-Bulk
Functional: PBE
Structure: optimized geometry

extended XYZ file:
```
5
Lattice="-2.9308 3.3266 0.8937 -1.9880 -2.5919 3.1280 2.8129 1.6342 3.1419" Properties=species:S:1:pos:R:3 pbc="T T T"
S 0.0000 0.0000 0.0000
Sn -1.0530 1.1844 3.5818
Ti -0.9940 -1.2959 1.5640
Ti 1.4065 0.8171 1.5709
Ti -1.4654 1.6633 0.4469
```

Calculated values
Space group: Pm-3m
V (A^3/atom): 18.502
Excess energy over the best structure of this formula in the dataset (meV per atom): 71
ΔE_f (raw) (eV per atom): -0.500

Record 19
Compound: MgBeH3
Source: Alexandria via LeMat-Bulk
Functional: PBE
Structure: optimized geometry

extended XYZ file:
```
5
Lattice="3.3483 0.0000 0.0000 0.0000 3.3483 0.0000 0.0000 0.0000 3.3483" Properties=species:S:1:pos:R:3 pbc="T T T"
Be 0.0000 0.0000 0.0000
Mg 1.6742 1.6742 1.6742
H 0.0000 1.6742 0.0000
H 0.0000 0.0000 1.6742
H 1.6742 0.0000 0.0000
```

Calculated values
Space group: Pm-3m
V (A^3/atom): 7.508
Excess energy over the best structure of this formula in the dataset (meV per atom): 244

Record 20
Compound: ErTmC
Source: Alexandria via LeMat-Bulk
Functional: PBE
Structure: optimized geometry

extended XYZ file:
```
6
Lattice="3.4224 0.0000 -0.9422 -0.2243 6.0876 -0.8149 -0.0939 -0.1751 6.3461" Properties=species:S:1:pos:R:3 pbc="T T T"
Er 1.1172 3.7007 4.0584
Er 1.9870 2.2118 0.5307
Tm 0.1601 5.2551 0.5816
Tm 2.9441 0.6574 4.0074
C -0.1122 3.0438 -0.4074
C 1.7112 0.0000 -0.4711
```

Calculated values
Space group: C2/m
V (A^3/atom): 21.859
Excess energy over the best structure of this formula in the dataset (meV per atom): 0
E_form (eV/atom): -0.335

Record 21
Compound: TiRe2Os
Source: Alexandria via LeMat-Bulk
Functional: PBE
Structure: optimized geometry

extended XYZ file:
```
4
Lattice="0.0000 3.1039 3.1039 3.1039 0.0000 3.1039 3.1039 3.1039 0.0000" Properties=species:S:1:pos:R:3 pbc="T T T"
Re 1.5519 1.5519 1.5519
Re 4.6558 4.6558 4.6558
Os 3.1039 3.1039 3.1039
Ti 0.0000 0.0000 0.0000
```

Calculated values
Space group: Fm-3m
V (A^3/atom): 14.951
Excess energy over the best structure of this formula in the dataset (meV per atom): 0
E_form (eV/atom): 0.007

Record 22
Compound: Li8Ag6Ge
Source: Alexandria via LeMat-Bulk
Functional: PBE
Structure: optimized geometry

extended XYZ file:
```
15
Lattice="7.1730 -0.0001 0.0000 3.5865 6.2120 0.0000 3.5865 2.0706 5.6487" Properties=species:S:1:pos:R:3 pbc="T T T"
Li 6.6473 1.5890 2.1330
Li 9.1205 2.4099 3.5157
Li 4.6999 3.3204 3.5157
Li 7.1730 4.1413 1.3603
Li 7.1730 4.1413 4.2884
Li 9.6462 4.9621 2.1330
Li 5.2256 5.8727 2.1330
Li 7.6987 6.6935 3.5157
Ag 9.8122 7.6167 4.8398
Ag 1.8962 1.9527 0.8089
Ag 4.3295 3.5934 0.8089
Ag 10.0165 4.6891 4.8398
Ag 12.4498 6.3299 4.8398
Ag 4.5338 0.6658 0.8089
Ge 0.0000 0.0000 0.0000
```

Calculated values
Space group: R-3
V (A^3/atom): 16.780
E_form (eV/atom): -0.145

Record 23
Compound: LaTlZnHg
Source: Alexandria via LeMat-Bulk
Functional: PBE
Structure: optimized geometry

extended XYZ file:
```
4
Lattice="-1.3267 -4.1919 2.8654 3.1957 -4.1580 0.2028 2.6107 -1.0899 4.4203" Properties=species:S:1:pos:R:3 pbc="T T T"
Zn 0.0000 0.0000 0.0000
Tl 3.3597 -7.0799 5.6165
Hg 2.2398 -4.7199 3.7443
La 1.1199 -2.3600 1.8722
```

Calculated values
Space group: F-43m
V (A^3/atom): 25.553
E_form (eV/atom): -0.309

Record 24
Compound: PuMgInAg
Source: Alexandria via LeMat-Bulk
Functional: PBE
Structure: optimized geometry

extended XYZ file:
```
4
Lattice="-4.4562 2.4926 0.1206 -3.9784 -1.7502 -2.6822 -4.0068 -2.0475 2.4164" Properties=species:S:1:pos:R:3 pbc="T T T"
Mg -6.2207 -0.6526 -0.0726
In -9.3310 -0.9788 -0.1090
Ag -3.1103 -0.3263 -0.0363
Pu 0.0000 0.0000 0.0000
```

Calculated values
Space group: F-43m
V (A^3/atom): 23.552
E_form (eV/atom): -0.085

Record 25
Compound: InCo2Tc
Source: Alexandria via LeMat-Bulk
Functional: PBE
Structure: optimized geometry

extended XYZ file:
```
4
Lattice="-3.2749 -2.9695 -1.8467 1.3617 -1.9279 -4.1692 2.0605 0.4251 4.3043" Properties=species:S:1:pos:R:3 pbc="T T T"
Co 0.0000 0.0000 0.0000
Co 1.2328 -1.9758 -1.4364
In -0.9566 -2.4487 -3.0079
Tc -1.0855 -2.4966 -0.2752
```

Calculated values
Space group: I-4m2
V (A^3/atom): 13.970
Excess energy over the best structure of this formula in the dataset (meV per atom): 180
E_form (eV/atom): 0.326

Record 26
Compound: HoLuC2
Source: Alexandria via LeMat-Bulk
Functional: PBE
Structure: optimized geometry

extended XYZ file:
```
4
Lattice="-1.2667 -3.2985 -0.0840 -0.4764 -1.6316 -3.0988 4.7785 -3.7083 -0.7977" Properties=species:S:1:pos:R:3 pbc="T T T"
C 0.7882 -2.1709 -0.9937
C 2.2472 -6.4676 -2.9868
Lu 1.5177 -4.3192 -1.9902
Ho 0.0000 0.0000 0.0000
```

Calculated values
Space group: R-3m
V (A^3/atom): 15.550
E_form (eV/atom): -0.037